[1]
# Sc5Tl2HgPd2

A relaxed structure of Sc5Tl2HgPd2 (PBE-GGA, Alexandria).

POSCAR file:
```
Sc5Tl2HgPd2
1.0
-2.530 -1.897 -1.338
6.280 -1.784 -9.348
4.469 -9.335 4.784
Sc Tl Hg Pd
10 4 2 4
Direct
0.500 0.000 0.500
0.500 0.576 0.699
0.500 0.500 0.000
0.500 0.801 0.924
0.500 0.424 0.301
0.500 0.924 0.199
0.500 0.699 0.424
0.500 0.199 0.076
0.500 0.076 0.801
0.500 0.301 0.576
0.000 0.830 0.670
0.000 0.670 0.170
0.000 0.170 0.330
0.000 0.330 0.830
0.000 0.000 0.000
0.000 0.500 0.500
0.000 0.370 0.130
0.000 0.630 0.870
0.000 0.870 0.370
0.000 0.130 0.630
```

Summary:
Space group: No. 127
Energy in eV for the cell shown: -103.4
Energy of formation from the pure elements in eV per atom: -0.46

---

[2]
# ZnOsPb2

A relaxed structure of ZnOsPb2 (PBE-GGA, Alexandria).

POSCAR file:
```
ZnOsPb2
1.0
-0.527 -1.447 -5.238
2.891 -4.475 -1.194
-3.579 1.219 3.938
Pb Os Zn
2 1 1
Direct
0.000 0.000 0.000
0.250 0.750 0.500
0.750 0.250 0.500
0.500 0.500 0.000
```

Summary:
Space group: No. 119
Energy in eV for the cell shown: -16.6
Energy of formation from the pure elements in eV per atom: 0.83